1.
A plane-wave DFT calculation with PBE was carried out for a relaxed structure of Be3InMo.

It has space group Pm-3m (No. 221), with a = 4.2989 Å, b = 4.2989 Å, c = 4.2989 Å, α = 90.00°, β = 90.00° and γ = 90.00°. The asymmetric unit holds Be at (0.0000, 0.0000, 0.5000), In at (0.0000, 0.0000, 0.0000) and Mo at (0.5000, 0.5000, 0.5000).

As for the total energy: -3.304 eV/atom. For the energy above the most stable polymorph in this dataset, the calculation gives 0.513 eV/atom. Its total magnetization is 0.000 μB per atom.

---

2.
A plane-wave DFT calculation with PBE was carried out for a relaxed structure of TaAg2Br.

It has space group P2/m (No. 10), with a = 2.9578 Å, b = 3.0419 Å, c = 9.0981 Å, α = 90.00°, β = 90.15° and γ = 90.00°. The asymmetric unit holds Ta at (0.0000, 0.0000, 0.0000), Ag at (0.4978, 0.5000, 0.7737) and Br at (0.5000, 0.0000, 0.5000).

As for the total energy: -4.467 eV/atom. The value obtained for the uncorrected formation energy is 0.340 eV/atom. For the energy above the most stable polymorph in this dataset, the calculation gives 0.129 eV/atom. Its total magnetization is 0.000 μB per atom.

---

3.
A plane-wave DFT calculation with PBE was carried out for a relaxed structure of HfTc2NiB.

It has space group P4/mmm (No. 123), with a = 4.2068 Å, b = 4.2068 Å, c = 3.8448 Å, α = 90.00°, β = 90.00° and γ = 90.00°. The asymmetric unit holds Hf at (0.0000, 0.0000, 0.0000), Tc at (0.0000, 0.5000, 0.5000), Ni at (0.5000, 0.5000, 0.0000) and B at (0.5000, 0.5000, 0.5000).

As for the total energy: -8.984 eV/atom. Its total magnetization is 0.000 μB per atom.

---

4.
A plane-wave DFT calculation with PBE was carried out for a relaxed structure of Dy4SbRu.

It has space group Pnma (No. 62), with a = 8.0507 Å, b = 4.1352 Å, c = 19.0161 Å, α = 90.00°, β = 90.00° and γ = 90.00°. The asymmetric unit holds Dy at (0.0031, 0.2500, 0.0671), Dy at (0.0423, 0.2500, 0.7851), Dy at (0.1377, 0.2500, 0.3575), Dy at (0.1427, 0.2500, 0.5505), Sb at (0.2422, 0.7500, 0.6919) and Ru at (0.2493, 0.2500, 0.9485).

As for the total energy: -5.888 eV/atom. The value obtained for the uncorrected formation energy is -0.587 eV/atom. For the energy above the most stable polymorph in this dataset, the calculation gives 0.000 eV/atom. Its total magnetization is 0.000 μB per atom.

---

We obtain mass density values of 5.0; 9.7; 10.8; 9.2 Mg/m³ for the records listed above, in that order.